[1]
## UInCu (PBE)

Data for an optimized crystal structure of UInCu.

Cell and atoms, written as POSCAR:
```
UInCu
1.0
3.063 0.000 0.000
0.000 15.728 0.000
0.000 0.000 4.808
U In Cu
4 4 4
Direct
0.000 0.242 0.250
0.000 0.758 0.750
0.500 0.258 0.750
0.500 0.742 0.250
0.000 0.076 0.750
0.000 0.924 0.250
0.500 0.424 0.250
0.500 0.576 0.750
0.000 0.423 0.750
0.000 0.577 0.250
0.500 0.077 0.250
0.500 0.923 0.750
```

Output
space-group type: Cmcm, No. 63
calculated density: 11.94 g/cm3
total moment: 0.5762 μB/atom
calculated formation energy: 0.129 eV per atom
E_tot: -0.2173 hartree per atom

[2]
## UInCu5 (PBE)

Data for an optimized crystal structure of UInCu5.

Cell and atoms, written as POSCAR:
```
UInCu5
1.0
8.259 0.000 0.000
0.000 5.016 0.000
0.000 0.000 10.586
U In Cu
4 4 20
Direct
0.249 0.250 0.061
0.251 0.750 0.561
0.749 0.250 0.439
0.751 0.750 0.939
0.136 0.750 0.863
0.364 0.250 0.363
0.636 0.750 0.637
0.864 0.250 0.137
0.060 0.750 0.105
0.069 0.002 0.313
0.069 0.498 0.313
0.085 0.250 0.517
0.182 0.250 0.743
0.318 0.750 0.243
0.415 0.750 0.017
0.431 0.502 0.813
0.431 0.998 0.813
0.440 0.250 0.605
0.560 0.750 0.395
0.569 0.002 0.187
0.569 0.498 0.187
0.585 0.250 0.983
0.682 0.250 0.757
0.818 0.750 0.257
0.915 0.750 0.483
0.931 0.502 0.687
0.931 0.998 0.687
0.940 0.250 0.895
```

Output
space-group type: Pnma, No. 62
calculated density: 10.16 g/cm3
total moment: 0.3076 μB/atom
calculated formation energy: 0.026 eV per atom
E_tot: -0.1802 hartree per atom

[3]
## UInCu2 (PBE)

Data for an optimized crystal structure of UInCu2.

Cell and atoms, written as POSCAR:
```
UInCu2
1.0
3.043 0.000 0.000
0.000 3.043 0.000
0.000 0.000 7.657
U In Cu
1 1 2
Direct
0.000 0.000 0.000
0.000 0.000 0.500
0.500 0.500 0.268
0.500 0.500 0.732
```

Output
space-group type: P4/mmm, No. 123
calculated density: 11.24 g/cm3
total moment: 0.5374 μB/atom
calculated formation energy: 0.179 eV per atom
E_tot: -0.1976 hartree per atom

[4]
## UZnInCu (PBE)

Data for an optimized crystal structure of UZnInCu.

Cell and atoms, written as POSCAR:
```
UZnInCu
1.0
6.775 0.000 0.000
0.000 6.775 0.000
0.000 0.000 6.775
U Zn In Cu
4 4 4 4
Direct
0.000 0.000 0.000
0.000 0.500 0.500
0.500 0.000 0.500
0.500 0.500 0.000
0.250 0.250 0.250
0.250 0.750 0.750
0.750 0.250 0.750
0.750 0.750 0.250
0.000 0.000 0.500
0.000 0.500 0.000
0.500 0.000 0.000
0.500 0.500 0.500
0.250 0.250 0.750
0.250 0.750 0.250
0.750 0.250 0.250
0.750 0.750 0.750
```

Output
space-group type: F-43m, No. 216
calculated density: 10.29 g/cm3
total moment: 0.6229 μB/atom
calculated formation energy: 0.109 eV per atom
E_tot: -0.1742 hartree per atom

[5]
## VInCu2 (PBE)

Data for an optimized crystal structure of VInCu2.

Cell and atoms, written as POSCAR:
```
VInCu2
1.0
7.036 0.000 0.000
0.000 7.036 0.000
0.000 0.000 5.456
V In Cu
4 4 8
Direct
0.000 0.000 0.000
0.000 0.500 0.250
0.500 0.000 0.750
0.500 0.500 0.500
0.000 0.000 0.500
0.000 0.500 0.750
0.500 0.000 0.250
0.500 0.500 0.000
0.237 0.250 0.125
0.250 0.737 0.375
0.250 0.763 0.875
0.263 0.250 0.625
0.737 0.750 0.625
0.750 0.237 0.875
0.750 0.263 0.375
0.763 0.750 0.125
```

Output
space-group type: I-42d, No. 122
calculated density: 7.20 g/cm3
total moment: 0.6282 μB/atom
calculated formation energy: 0.545 eV per atom
E_tot: -0.1642 hartree per atom

[6]
## VInCu2 (PBE)

Data for an optimized crystal structure of VInCu2.

Cell and atoms, written as POSCAR:
```
VInCu2
1.0
2.903 0.000 0.000
0.000 2.903 0.000
0.000 0.000 7.083
V In Cu
1 1 2
Direct
0.000 0.000 0.000
0.000 0.000 0.500
0.500 0.500 0.231
0.500 0.500 0.769
```

Output
space-group type: P4/mmm, No. 123
calculated density: 8.15 g/cm3
total moment: 0.0000 μB/atom
calculated formation energy: 0.193 eV per atom
E_tot: -0.1771 hartree per atom

[7]
## VIn3Cu (PBE)

Data for an optimized crystal structure of VIn3Cu.

Cell and atoms, written as POSCAR:
```
VIn3Cu
1.0
5.270 0.000 0.000
0.000 5.270 0.000
0.000 0.000 5.270
V In Cu
1 3 1
Direct
0.000 0.000 0.000
0.000 0.000 0.500
0.000 0.500 0.000
0.500 0.000 0.000
0.500 0.500 0.500
```

Output
space-group type: Pm-3m, No. 221
calculated density: 5.21 g/cm3
total moment: 0.6976 μB/atom
energy above the lowest structure with this stoichiometry: 185 meV/atom
calculated formation energy: 0.833 eV per atom
E_tot: -0.1269 hartree per atom

[8]
## VIn3Cu (PBE)

Data for an optimized crystal structure of VIn3Cu.

Cell and atoms, written as POSCAR:
```
VIn3Cu
1.0
4.985 0.000 0.000
0.000 4.985 0.000
0.000 0.000 4.985
V In Cu
1 3 1
Direct
0.000 0.000 0.000
0.000 0.500 0.500
0.500 0.000 0.500
0.500 0.500 0.000
0.500 0.500 0.500
```

Output
space-group type: Pm-3m, No. 221
calculated density: 6.15 g/cm3
total moment: 0.7256 μB/atom
energy above the lowest structure with this stoichiometry: 0 meV/atom
calculated formation energy: 0.647 eV per atom
E_tot: -0.1337 hartree per atom